Entry 1:
First-principles (meta-GGA SCAN) data for a PBEsol-optimized structure of CdPS2Br, as listed in Alexandria via LeMat-Bulk.

Cell and atoms, written as POSCAR:
```
CdPS2Br
1.0
-0.243 4.773 0.592
-4.063 -0.521 2.533
2.544 -0.368 4.005
P S Br Cd
1 2 1 1
Cartesian
1.272 -0.184 2.003
-2.031 -0.261 1.266
-0.122 2.387 0.296
0.000 0.000 0.000
-0.881 1.942 3.565
```

***

Entry 2:
First-principles (meta-GGA SCAN) data for a PBEsol-optimized structure of CdPbBr, as listed in Alexandria via LeMat-Bulk.

Cell and atoms, written as POSCAR:
```
CdPbBr
1.0
-0.542 0.068 -3.582
1.810 -2.754 1.507
-6.105 -3.543 0.857
Pb Br Cd
1 1 1
Cartesian
-1.887 -2.108 -1.587
-5.870 -3.407 0.824
-3.184 -4.257 0.401
```

***

Formation energy (no corrections), record by record: 1.13; -0.27 eV per atom